[1]
# KMg2Ag2, relaxed, DFT PBE-GGA
data_KMg2Ag2
_chemical_formula_sum 'K2 Mg4 Ag4'
_space_group_name_H-M_alt 'P 4/m b m'
_space_group_IT_number 127
_space_group_name_Hall '-P 4 2ab'
_cell_length_a 8.724
_cell_length_b 8.724
_cell_length_c 3.064
_cell_angle_alpha 90.00
_cell_angle_beta 90.00
_cell_angle_gamma 90.00
loop_
_atom_site_label
_atom_site_fract_x
_atom_site_fract_y
_atom_site_fract_z
K1 0.000 0.000 0.000
Mg1 0.124 0.376 0.000
Ag1 0.168 0.668 0.500
# Energy of formation, eV/atom: -0.06
# Energy above the lowest structure with this stoichiometry, eV/f.u.: 0.000
# Magnetization, μB per atom: 0.00

=====

[2]
# KMgAg3, relaxed, DFT PBE-GGA
data_KMgAg3
_chemical_formula_sum 'K1 Mg1 Ag3'
_space_group_name_H-M_alt 'P m -3 m'
_space_group_IT_number 221
_space_group_name_Hall '-P 4 2 3'
_cell_length_a 5.542
_cell_length_b 5.542
_cell_length_c 5.542
_cell_angle_alpha 90.00
_cell_angle_beta 90.00
_cell_angle_gamma 90.00
loop_
_atom_site_label
_atom_site_fract_x
_atom_site_fract_y
_atom_site_fract_z
K1 0.000 0.000 0.000
Mg1 0.500 0.500 0.500
Ag1 0.000 0.000 0.500
# Energy of formation, eV/atom: 1.03
# Energy above the lowest structure with this stoichiometry, eV/f.u.: 4.051
# Magnetization, μB per atom: 0.00

=====

[3]
# K2MgAg, relaxed, DFT PBE-GGA
data_K2MgAg
_chemical_formula_sum 'K2 Mg1 Ag1'
_space_group_name_H-M_alt 'P m m m'
_space_group_IT_number 47
_cell_length_a 4.160
_cell_length_b 4.171
_cell_length_c 8.814
_cell_angle_alpha 90.00
_cell_angle_beta 90.00
_cell_angle_gamma 90.00
loop_
_space_group_symop_operation_xyz
'x,y,z'
'-x,-y,-z'
'-x,-y,z'
'x,y,-z'
'x,-y,-z'
'-x,y,z'
'-x,y,-z'
'x,-y,z'
loop_
_atom_site_label
_atom_site_fract_x
_atom_site_fract_y
_atom_site_fract_z
K1 0.000 0.000 0.222
Mg1 0.500 0.500 0.500
Ag1 0.500 0.500 0.000
# Energy of formation, eV/atom: 0.17
# Magnetization, μB per atom: 0.00